{
  "formula": "CsPd",
  "functional": "PBE-GGA",
  "state": "relaxed",
  "cell": [[3.942, 0.000, 0.000], [0.000, 3.942, 0.000], [0.000, 0.000, 10.632]],
  "species": ["Cs", "Cs", "Pd", "Pd"],
  "frac_coords": [[0.000, 0.500, 0.745], [0.500, 0.000, 0.255], [0.000, 0.000, 0.000], [0.500, 0.500, 0.000]],
  "final_energy_ev_per_cell": -11.414,
  "formation_enthalpy_0k_kj_per_mol_atoms": 16
}

=====

{
  "formula": "CsPd",
  "functional": "PBE-GGA",
  "state": "relaxed",
  "cell": [[4.487, 0.001, 1.077], [2.114, 3.958, 1.077], [-0.056, -0.033, 9.895]],
  "species": ["Cs", "Cs", "Pd", "Pd"],
  "frac_coords": [[0.580, 0.580, 0.256], [0.420, 0.420, 0.744], [0.833, 0.833, 0.500], [0.167, 0.167, 0.500]],
  "final_energy_ev_per_cell": -11.907,
  "formation_enthalpy_0k_kj_per_mol_atoms": 4
}

=====

{
  "formula": "CsPd2",
  "functional": "PBE-GGA",
  "state": "relaxed",
  "cell": [[-2.507, -3.494, 1.330], [3.814, 0.984, 2.158], [-6.385, 6.817, 5.873]],
  "species": ["Cs", "Cs", "Pd", "Pd", "Pd", "Pd"],
  "frac_coords": [[0.758, 0.517, 0.956], [0.186, 0.372, 0.544], [0.136, 0.272, 0.230], [0.453, 0.907, 0.130], [0.491, 0.982, 0.370], [0.809, 0.617, 0.270]],
  "final_energy_ev_per_cell": -21.865,
  "formation_enthalpy_0k_kj_per_mol_atoms": 10
}

=====

{
  "formula": "CsPd",
  "functional": "PBE-GGA",
  "state": "relaxed",
  "cell": [[-13.434, 4.707, -1.762], [0.258, -0.975, -4.571], [-2.239, -5.960, 1.145]],
  "species": ["Cs", "Cs", "Cs", "Cs", "Cs", "Cs", "Pd", "Pd", "Pd", "Pd", "Pd", "Pd"],
  "frac_coords": [[0.760, 0.000, 0.000], [0.240, 0.000, 0.000], [0.260, 0.500, 0.500], [0.740, 0.500, 0.500], [0.500, 0.000, 0.500], [0.000, 0.500, 0.000], [0.404, 0.500, 0.000], [0.596, 0.500, 0.000], [0.904, 0.000, 0.500], [0.096, 0.000, 0.500], [0.000, 0.500, 0.500], [0.500, 0.000, 0.000]],
  "final_energy_ev_per_cell": -34.726,
  "formation_enthalpy_0k_kj_per_mol_atoms": 12
}

=====

{
  "formula": "CsPd",
  "functional": "PBE-GGA",
  "state": "relaxed",
  "cell": [[-1.268, -12.127, -3.847], [12.183, -0.044, -3.878], [1.246, -1.377, 3.929]],
  "species": ["Cs", "Cs", "Cs", "Cs", "Cs", "Cs", "Cs", "Cs", "Pd", "Pd", "Pd", "Pd", "Pd", "Pd", "Pd", "Pd"],
  "frac_coords": [[0.235, 0.910, 0.000], [0.765, 0.090, 0.000], [0.090, 0.235, 0.000], [0.910, 0.765, 0.000], [0.735, 0.410, 0.500], [0.265, 0.590, 0.500], [0.590, 0.735, 0.500], [0.410, 0.265, 0.500], [0.487, 0.102, 0.000], [0.513, 0.898, 0.000], [0.898, 0.487, 0.000], [0.102, 0.513, 0.000], [0.987, 0.602, 0.500], [0.013, 0.398, 0.500], [0.398, 0.987, 0.500], [0.602, 0.013, 0.500]],
  "final_energy_ev_per_cell": -45.513,
  "formation_enthalpy_0k_kj_per_mol_atoms": 17
}

=====

{
  "formula": "Cs2PdPt",
  "functional": "PBE-GGA",
  "state": "relaxed",
  "cell": [[4.961, 0.000, 0.000], [0.000, 4.961, 0.000], [2.481, 2.481, 10.884]],
  "species": ["Cs", "Cs", "Cs", "Cs", "Pd", "Pd", "Pt", "Pt"],
  "frac_coords": [[0.621, 0.125, 0.250], [0.129, 0.625, 0.250], [0.375, 0.379, 0.750], [0.875, 0.871, 0.750], [0.500, 0.500, 0.000], [0.250, 0.750, 0.500], [0.000, 0.000, 0.000], [0.750, 0.250, 0.500]],
  "e_above_lowest_polymorph_mev_per_atom": 673,
  "final_energy_ev_per_cell": -20.716,
  "formation_enthalpy_0k_kj_per_mol_atoms": 62
}

=====

Repeat the third record exactly.
{
  "formula": "CsPd2",
  "functional": "PBE-GGA",
  "state": "relaxed",
  "cell": [[-2.507, -3.494, 1.330], [3.814, 0.984, 2.158], [-6.385, 6.817, 5.873]],
  "species": ["Cs", "Cs", "Pd", "Pd", "Pd", "Pd"],
  "frac_coords": [[0.758, 0.517, 0.956], [0.186, 0.372, 0.544], [0.136, 0.272, 0.230], [0.453, 0.907, 0.130], [0.491, 0.982, 0.370], [0.809, 0.617, 0.270]],
  "final_energy_ev_per_cell": -21.865,
  "formation_enthalpy_0k_kj_per_mol_atoms": 10
}

=====

Q: Which formula does entry 2 have?
A: CsPd

=====

Q: Which formula does entry 3 have?
A: CsPd2